This record from the Alexandria database describes Tb2NdYTm after structural relaxation. The functional is PBE.

The structure belongs to space group Cmcm (No. 63); the cell edges are 8.415, 11.495 and 7.224 Å and the angles 90.00°, 90.00° and 90.00°. The inequivalent atoms are Tb at (0.190, 0.000, 0.000), Nd at (0.000, 0.227, 0.250), Y at (0.000, 0.498, 0.250) and Tm at (0.000, 0.222, 0.750).

For the formation energy, the calculation gives 0.402 eV per atom. The value obtained for the total moment is 0.00 μB per formula unit. The total energy comes out at -4.591 eV/atom.



This record from the Alexandria database describes TbNd5YTm2 after structural relaxation. The functional is PBE.

The structure belongs to space group Cmc2_1 (No. 36); the cell edges are 5.644, 20.477 and 10.696 Å and the angles 90.00°, 90.00° and 90.00°. The inequivalent atoms are Tb at (0.000, 0.199, 0.000), Nd at (0.000, 0.015, 0.006), Nd at (0.000, 0.279, 0.301), Nd at (0.000, 0.297, 0.696), Nd at (0.000, 0.386, 0.010), Nd at (0.000, 0.483, 0.732), Y at (0.000, 0.408, 0.450), Tm at (0.000, 0.113, 0.728) and Tm at (0.000, 0.114, 0.296).

For the formation energy, the calculation gives 0.151 eV per atom. The value obtained for the total moment is 0.00 μB per formula unit. The total energy comes out at -4.724 eV/atom.



This record from the Alexandria database describes TbNd6Y2Tm3 after structural relaxation. The functional is PBE.

The structure belongs to space group C2/m (No. 12); the cell edges are 6.265, 10.849 and 11.815 Å and the angles 90.00°, 100.15° and 90.00°. The inequivalent atoms are Tb at (0.000, 0.000, 0.000), Nd at (0.249, 0.000, 0.748), Nd at (0.250, 0.166, 0.252), Y at (0.000, 0.333, 0.000), Tm at (0.000, 0.167, 0.500) and Tm at (0.000, 0.500, 0.500).

For the formation energy, the calculation gives 0.013 eV per atom. The value obtained for the total moment is 0.00 μB per formula unit. The total energy comes out at -4.952 eV/atom.



This record from the Alexandria database describes TbNdY2Tm5 after structural relaxation. The functional is PBE.

The structure belongs to space group Cmc2_1 (No. 36); the cell edges are 5.582, 19.611 and 10.557 Å and the angles 90.00°, 90.00° and 90.00°. The inequivalent atoms are Tb at (0.000, 0.202, 0.000), Nd at (0.000, 0.418, 0.442), Y at (0.000, 0.110, 0.723), Y at (0.000, 0.113, 0.308), Tm at (0.000, 0.019, 0.015), Tm at (0.000, 0.283, 0.298), Tm at (0.000, 0.299, 0.698), Tm at (0.000, 0.390, 0.010) and Tm at (0.000, 0.479, 0.724).

For the formation energy, the calculation gives 0.160 eV per atom. The value obtained for the total moment is 0.00 μB per formula unit. The total energy comes out at -4.805 eV/atom.



This record from the Alexandria database describes TbNd3Y6Tm2 after structural relaxation. The functional is PBE.

The structure belongs to space group C2/m (No. 12); the cell edges are 6.215, 10.759 and 11.851 Å and the angles 90.00°, 100.03° and 90.00°. The inequivalent atoms are Tb at (0.000, 0.000, 0.000), Nd at (0.000, 0.167, 0.500), Nd at (0.000, 0.500, 0.500), Y at (0.248, 0.500, 0.246), Y at (0.249, 0.167, 0.246) and Tm at (0.000, 0.333, 0.000).

For the formation energy, the calculation gives 0.020 eV per atom. The value obtained for the total moment is 0.00 μB per formula unit. The total energy comes out at -5.535 eV/atom.



This record from the Alexandria database describes Tb2Nd6YTm3 after structural relaxation. The functional is PBE.

The structure belongs to space group C2/m (No. 12); the cell edges are 6.265, 10.848 and 11.818 Å and the angles 90.00°, 100.14° and 90.00°. The inequivalent atoms are Tb at (0.000, 0.167, 0.000), Nd at (0.249, 0.167, 0.748), Nd at (0.249, 0.500, 0.748), Y at (0.000, 0.500, 0.000), Tm at (0.000, 0.000, 0.500) and Tm at (0.000, 0.333, 0.500).

For the formation energy, the calculation gives 0.013 eV per atom. The value obtained for the total moment is 0.00 μB per formula unit. The total energy comes out at -4.799 eV/atom.



This record from the Alexandria database describes TbNd3YTm after structural relaxation. The functional is PBE.

The structure belongs to space group Cmcm (No. 63); the cell edges are 5.110, 15.339 and 10.204 Å and the angles 90.00°, 90.00° and 90.00°. The inequivalent atoms are Tb at (0.000, 0.000, 0.000), Nd at (0.000, 0.165, 0.250), Nd at (0.000, 0.335, 0.000), Y at (0.000, 0.165, 0.750) and Tm at (0.000, 0.499, 0.250).

For the formation energy, the calculation gives 0.020 eV per atom. The value obtained for the total moment is 0.00 μB per formula unit. The total energy comes out at -4.958 eV/atom.



This record from the Alexandria database describes Tb5NdYTm2 after structural relaxation. The functional is PBE.

The structure belongs to space group Cmc2_1 (No. 36); the cell edges are 5.607, 19.842 and 10.586 Å and the angles 90.00°, 90.00° and 90.00°. The inequivalent atoms are Tb at (0.000, 0.018, 0.000), Tb at (0.000, 0.282, 0.287), Tb at (0.000, 0.299, 0.686), Tb at (0.000, 0.389, 0.999), Tb at (0.000, 0.478, 0.714), Nd at (0.000, 0.416, 0.428), Y at (0.000, 0.200, 0.988), Tm at (0.000, 0.111, 0.712) and Tm at (0.000, 0.114, 0.296).

For the formation energy, the calculation gives 0.159 eV per atom. The value obtained for the total moment is 0.00 μB per formula unit. The total energy comes out at -4.655 eV/atom.



This record from the Alexandria database describes TbNd2YTm after structural relaxation. The functional is PBE.

The structure belongs to space group Cmcm (No. 63); the cell edges are 8.407, 11.595 and 7.271 Å and the angles 90.00°, 90.00° and 90.00°. The inequivalent atoms are Tb at (0.000, 0.216, 0.250), Nd at (0.195, 0.000, 0.000), Y at (0.000, 0.242, 0.750) and Tm at (0.000, 0.480, 0.250).

For the formation energy, the calculation gives 0.400 eV per atom. The value obtained for the total moment is 0.00 μB per formula unit. The total energy comes out at -4.621 eV/atom.



This record from the Alexandria database describes Tb6Nd2Tm3Zr after structural relaxation. The functional is PBE.

The structure belongs to space group C2/m (No. 12); the cell edges are 6.114, 10.573 and 11.686 Å and the angles 90.00°, 99.97° and 90.00°. The inequivalent atoms are Tb at (0.243, 0.000, 0.251), Tb at (0.247, 0.163, 0.749), Nd at (0.000, 0.333, 0.500), Tm at (0.000, 0.166, 0.000), Tm at (0.000, 0.500, 0.000) and Zr at (0.000, 0.000, 0.500).

For the formation energy, the calculation gives 0.055 eV per atom. The value obtained for the total moment is 0.00 μB per formula unit. The total energy comes out at -4.885 eV/atom.



This record from the Alexandria database describes TbNdTmZr after structural relaxation. The functional is PBE.

The structure belongs to space group F-43m (No. 216); the cell edges are 7.799, 7.799 and 7.799 Å and the angles 90.00°, 90.00° and 90.00°. The inequivalent atoms are Tb at (0.000, 0.000, 0.000), Nd at (0.250, 0.250, 0.750), Tm at (0.000, 0.000, 0.500) and Zr at (0.250, 0.250, 0.250).

For the formation energy, the calculation gives 0.224 eV per atom. The value obtained for the total moment is 1.49 μB per formula unit. The total energy comes out at -5.380 eV/atom.



This record from the Alexandria database describes TbNdU after structural relaxation. The functional is PBE.

The structure belongs to space group C2/m (No. 12); the cell edges are 17.096, 3.650 and 5.905 Å and the angles 90.00°, 100.42° and 90.00°. The inequivalent atoms are Tb at (0.072, 0.000, 0.296), Nd at (0.117, 0.500, 0.814) and U at (0.240, 0.500, 0.352).

For the formation energy, the calculation gives 0.247 eV per atom. The value obtained for the total moment is 1.01 μB per formula unit. The total energy comes out at -6.648 eV/atom.



This record from the Alexandria database describes TbNdV after structural relaxation. The functional is PBE.

The structure belongs to space group P4/nmm (No. 129, origin choice 2); the cell edges are 4.641, 4.641 and 7.681 Å and the angles 90.00°, 90.00° and 90.00°. The inequivalent atoms are Tb at (0.250, 0.250, 0.246), Nd at (0.250, 0.250, 0.725) and V at (0.250, 0.750, 0.000).

For the formation energy, the calculation gives 0.523 eV per atom. The value obtained for the total moment is 0.01 μB per formula unit. The total energy comes out at -5.649 eV/atom.



This record from the Alexandria database describes Tb4Nd3Y after structural relaxation. The functional is PBE.

The structure belongs to space group Pmn2_1 (No. 31); the cell edges are 11.564, 7.351 and 6.336 Å and the angles 90.00°, 90.00° and 90.00°. The inequivalent atoms are Tb at (0.000, 0.121, 0.000), Tb at (0.000, 0.877, 0.501), Tb at (0.248, 0.122, 0.333), Nd at (0.000, 0.628, 0.001), Nd at (0.249, 0.373, 0.836) and Y at (0.000, 0.372, 0.499).

The energy above the most stable polymorph in this dataset is 0 meV per atom. For the formation energy, the calculation gives 0.023 eV per atom. The value obtained for the total moment is 0.00 μB per formula unit. The total energy comes out at -4.888 eV/atom.



This record from the Alexandria database describes TbNd3Y6 after structural relaxation. The functional is PBE.

The structure belongs to space group R3 (No. 146, hexagonal axes); the cell edges are 9.9763, 9.9763 and 11.7047 Å and the angles 90.00°, 90.00° and 120.00°. The inequivalent atoms are Tb at (0.0000, 0.0000, 0.0000), Nd at (0.0000, 0.0000, 0.2498), Nd at (0.0000, 0.0000, 0.4999), Nd at (0.0000, 0.0000, 0.7505), Y at (0.0024, 0.6743, 0.7510) and Y at (0.0075, 0.3386, 0.9174).

The energy above the most stable polymorph in this dataset is 116 meV per atom. For the formation energy, the calculation gives 0.257 eV per atom. The value obtained for the total moment is 0.00 μB per formula unit. The total energy comes out at -5.515 eV/atom.



This record from the Alexandria database describes TbNd5Y12 after structural relaxation. The functional is PBE.

The structure belongs to space group P2/m (No. 10); the cell edges are 10.797, 5.096 and 10.809 Å and the angles 90.00°, 90.09° and 90.00°. The inequivalent atoms are Tb at (0.000, 0.000, 0.000), Nd at (0.166, 0.500, 0.834), Nd at (0.333, 0.000, 0.667), Nd at (0.500, 0.500, 0.500), Y at (0.001, 0.000, 0.333), Y at (0.165, 0.500, 0.499), Y at (0.167, 0.500, 0.167), Y at (0.332, 0.000, 0.332), Y at (0.333, 0.000, 0.001) and Y at (0.499, 0.500, 0.165).

For the formation energy, the calculation gives 0.021 eV per atom. The value obtained for the total moment is 0.00 μB per formula unit. The total energy comes out at -5.870 eV/atom.



This record from the Alexandria database describes TbNd4Y15 after structural relaxation. The functional is PBE.

The structure belongs to space group P4/mmm (No. 123); the cell edges are 5.086, 5.086 and 25.341 Å and the angles 90.00°, 90.00° and 90.00°. The inequivalent atoms are Tb at (0.000, 0.000, 0.000), Nd at (0.000, 0.000, 0.199), Nd at (0.000, 0.000, 0.400), Y at (0.000, 0.500, 0.099), Y at (0.000, 0.500, 0.299), Y at (0.000, 0.500, 0.500), Y at (0.500, 0.500, 0.000), Y at (0.500, 0.500, 0.199) and Y at (0.500, 0.500, 0.400).

For the formation energy, the calculation gives 0.021 eV per atom. The value obtained for the total moment is 0.00 μB per formula unit. The total energy comes out at -6.012 eV/atom.



This record from the Alexandria database describes TbNd3Y5 after structural relaxation. The functional is PBE.

The structure belongs to space group I4/mcm (No. 140); the cell edges are 8.775, 8.775 and 15.609 Å and the angles 90.00°, 90.00° and 90.00°. The inequivalent atoms are Tb at (0.000, 0.500, 0.250), Nd at (0.000, 0.000, 0.250), Nd at (0.117, 0.383, 0.000), Y at (0.000, 0.000, 0.000) and Y at (0.209, 0.291, 0.363).

For the formation energy, the calculation gives 0.246 eV per atom. The value obtained for the total moment is 0.00 μB per formula unit. The total energy comes out at -5.449 eV/atom.



This record from the Alexandria database describes Tb7Nd12Y after structural relaxation. The functional is PBE.

The structure belongs to space group R-3 (No. 148, hexagonal axes); the cell edges are 12.2883, 12.2883 and 15.9136 Å and the angles 90.00°, 90.00° and 120.00°. The inequivalent atoms are Tb at (0.0000, 0.0000, 0.0000), Tb at (0.0550, 0.1874, 0.2975), Nd at (0.0209, 0.4472, 0.2222), Nd at (0.0581, 0.5909, 0.5802) and Y at (0.0000, 0.0000, 0.5000).

The energy above the most stable polymorph in this dataset is 0 meV per atom. For the formation energy, the calculation gives 0.227 eV per atom. The value obtained for the total moment is 0.00 μB per formula unit. The total energy comes out at -4.578 eV/atom.



This record from the Alexandria database describes TbNd4Y after structural relaxation. The functional is PBE.

The structure belongs to space group Cmmm (No. 65); the cell edges are 5.164, 15.445 and 5.162 Å and the angles 90.00°, 90.00° and 90.00°. The inequivalent atoms are Tb at (0.000, 0.000, 0.000), Nd at (0.000, 0.166, 0.500), Nd at (0.000, 0.335, 0.000) and Y at (0.000, 0.500, 0.500).

The energy above the most stable polymorph in this dataset is 0 meV per atom. For the formation energy, the calculation gives 0.017 eV per atom. The value obtained for the total moment is 0.00 μB per formula unit. The total energy comes out at -5.011 eV/atom.



| no. | volume (A^3/atom) |
| --- | --- |
| 1 | 34.94 |
| 2 | 34.34 |
| 3 | 32.93 |
| 4 | 32.10 |
| 5 | 32.52 |
| 6 | 32.94 |
| 7 | 33.33 |
| 8 | 32.72 |
| 9 | 35.44 |
| 10 | 31.00 |
| 11 | 29.65 |
| 12 | 30.20 |
| 13 | 27.58 |
| 14 | 33.66 |
| 15 | 33.63 |
| 16 | 33.04 |
| 17 | 32.77 |
| 18 | 33.39 |
| 19 | 34.68 |
| 20 | 34.31 |